1.
The following is a DFT calculation (PBE) of crystalline Sm2ThZrAs4 at its relaxed geometry.

The structure in extended XYZ format:
```
8
Lattice="7.155 0.000 0.000 0.000 4.141 0.000 -2.386 0.000 6.777" Properties=species:S:1:pos:R:3 pbc="T T T"
Sm 0.000 0.000 0.000
Sm 3.578 2.070 0.000
Th -1.193 2.070 3.389
Zr 2.384 0.000 3.389
As 0.082 0.000 5.044
As 1.268 2.070 1.786
As 3.501 2.070 4.991
As 4.687 0.000 1.733
```

Results
Symmetry: P2/m
VASP energy: -0.252 Ha/atom
Theoretical density: 7.6 g cm⁻³

2.
The following is a DFT calculation (PBE) of crystalline Tb3Ho3Tm8 at its relaxed geometry.

The structure in extended XYZ format:
```
14
Lattice="-2.769 5.334 7.358 2.769 -5.334 7.358 2.769 5.334 -7.358" Properties=species:S:1:pos:R:3 pbc="T T T"
Tb 0.000 0.000 0.000
Tb 2.769 0.000 2.676
Tb 0.000 5.334 4.683
Ho 2.769 2.182 0.000
Ho 0.000 0.000 7.358
Ho 0.000 3.152 7.358
Tm 2.769 3.636 -3.266
Tm 2.769 -1.676 5.830
Tm 0.000 1.697 4.092
Tm 0.000 3.658 1.528
Tm 2.769 1.676 5.830
Tm 2.769 3.636 3.266
Tm 0.000 7.010 1.528
Tm 0.000 1.697 10.624
```

Results
Symmetry: Immm
VASP energy: -0.162 Ha/atom
Theoretical density: 8.9 g cm⁻³

3.
The following is a DFT calculation (PBE) of crystalline Fe4CoNi2 at its relaxed geometry.

The structure in extended XYZ format:
```
14
Lattice="-3.508 3.508 3.522 3.508 -3.508 3.522 3.508 3.508 -3.522" Properties=species:S:1:pos:R:3 pbc="T T T"
Fe 4.697 0.533 0.327
Fe 2.975 2.319 -1.434
Fe 0.533 2.319 -0.327
Fe 0.533 1.189 2.089
Fe 2.975 1.189 3.195
Fe 1.189 -0.533 4.956
Fe 2.319 4.041 1.434
Fe -1.189 2.975 3.850
Co 0.000 0.000 0.000
Co 0.000 3.508 1.761
Ni 1.754 -0.893 2.642
Ni 2.615 1.754 0.881
Ni 1.754 4.401 -0.881
Ni 0.893 1.754 4.403
```

Results
Symmetry: I-42d
VASP energy: -0.263 Ha/atom
Theoretical density: 7.7 g cm⁻³

4.
The following is a DFT calculation (PBE) of crystalline CaMgCd2 at its relaxed geometry.

The structure in extended XYZ format:
```
8
Lattice="-2.362 2.362 10.378 2.362 -2.362 10.378 2.362 2.362 -10.378" Properties=species:S:1:pos:R:3 pbc="T T T"
Ca 0.000 0.000 0.000
Ca 0.000 2.362 5.189
Mg 2.362 0.000 5.189
Mg 0.000 0.000 10.378
Cd 1.181 -0.941 7.784
Cd 1.421 1.181 2.595
Cd 1.181 3.303 -2.595
Cd 0.941 1.181 12.973
```

Results
Symmetry: I-42d
VASP energy: -0.049 Ha/atom
Theoretical density: 4.1 g cm⁻³

5.
The following is a DFT calculation (PBE) of crystalline HoThSc2As4 at its relaxed geometry.

The structure in extended XYZ format:
```
8
Lattice="6.958 0.000 0.000 0.000 4.055 0.000 -2.350 0.000 6.600" Properties=species:S:1:pos:R:3 pbc="T T T"
Ho 0.000 0.000 0.000
Th -1.175 2.028 3.300
Sc 2.304 0.000 3.300
Sc 3.479 2.028 0.000
As 1.263 2.028 1.659
As 0.093 0.000 5.027
As 4.514 0.000 1.572
As 3.344 2.028 4.941
```

Results
Symmetry: P2/m
VASP energy: -0.251 Ha/atom
Theoretical density: 7.0 g cm⁻³

6.
The following is a DFT calculation (PBE) of crystalline La12Y3Tm at its relaxed geometry.

The structure in extended XYZ format:
```
16
Lattice="5.210 0.000 0.000 0.000 5.210 0.000 0.000 0.000 20.831" Properties=species:S:1:pos:R:3 pbc="T T T"
La 0.000 0.000 0.000
La 0.000 0.000 5.187
La 0.000 0.000 10.416
La 0.000 0.000 15.644
La 0.000 2.605 2.579
La 0.000 2.605 7.802
La 0.000 2.605 13.029
La 0.000 2.605 18.252
La 2.605 0.000 2.579
La 2.605 0.000 7.802
La 2.605 0.000 13.029
La 2.605 0.000 18.252
Y 2.605 2.605 5.192
Y 2.605 2.605 10.416
Y 2.605 2.605 15.639
Tm 2.605 2.605 0.000
```

Results
Symmetry: P4/mmm
VASP energy: -0.190 Ha/atom
Theoretical density: 6.2 g cm⁻³